[1]
Material: La4Tb2Pm5
Method: DFT, GGA-PBE
State: relaxed

Computed properties:
Energy relative to the lowest polymorph listed for this composition ... 0.00 kJ/mol of atoms
Symmetry ... C2/m, No. 12
Fermi-level density of states ... 1.646 states/eV/atom
Magnetic moment ... 0.00 Bohr magnetons per cell
E_form ... 0.076 eV/atom

Cell lengths 3.5971, 11.9133, 9.1919 Å; angles 94.22, 101.28, 90.00 degrees
Element x y z (fractional)
La 0.0392 0.2628 0.0784
La 0.6413 0.7959 0.2825
La 0.3587 0.2041 0.7175
La 0.9608 0.7372 0.9216
Pm 0.8212 0.9268 0.6423
Pm 0.5000 0.0000 0.0000
Pm 0.1788 0.0732 0.3577
Pm 0.0963 0.5394 0.1927
Pm 0.9037 0.4606 0.8073
Tb 0.7164 0.3613 0.4328
Tb 0.2836 0.6387 0.5672

[2]
Material: La2Tb3Pm
Method: DFT, GGA-PBE
State: relaxed

Computed properties:
Energy relative to the lowest polymorph listed for this composition ... 4.28 kJ/mol of atoms
Symmetry ... C2/c, No. 15
Fermi-level density of states ... 1.553 states/eV/atom
Magnetic moment ... 0.00 Bohr magnetons per cell
E_form ... 0.137 eV/atom

Cell lengths 6.9673, 9.3156, 7.0521 Å; angles 100.92, 90.00, 111.96 degrees
Element x y z (fractional)
La 0.6817 0.3522 0.5880
La 0.3183 0.6478 0.4120
La 0.3295 0.6478 0.9120
La 0.6705 0.3522 0.0880
Tb 0.7369 0.0000 0.7500
Tb 0.2631 0.0000 0.2500
Tb 0.1338 0.2761 0.0687
Tb 0.1424 0.2761 0.5687
Tb 0.8662 0.7239 0.9313
Tb 0.8576 0.7239 0.4313
Pm 0.2641 0.0000 0.7500
Pm 0.7359 0.0000 0.2500

Q: Which formula does entry 2 have?
A: La2Tb3Pm

Q: Among the records above, which one has the highest Fermi-level density of states?
A: La4Tb2Pm5

Q: Which formula does entry 1 have?
A: La4Tb2Pm5